1.
{
  "formula": "AcNd2Ho4",
  "functional": "GGA-PBE",
  "state": "relaxed",
  "relative_energy_mev_per_atom": 167,
  "total_magnetization_mub_per_atom": 0.000,
  "volume_a3_per_atom": 35.29,
  "e_form_kj_per_mol_fu": 139,
  "total_energy_ev_per_atom": -4.36,
  "lattice_angstrom": [[-1.7433, 4.9889, -4.5136], [-0.2739, -5.7738, -3.8586], [-4.2401, 1.1942, 5.3755]],
  "species": ["Ac", "Nd", "Nd", "Ho", "Ho", "Ho", "Ho"],
  "frac_coords": [[0.0000, 0.0000, 0.0000], [0.5000, 0.2500, 0.7500], [0.5000, 0.7500, 0.2500], [0.0000, 0.3046, 0.6954], [0.0000, 0.6954, 0.3046], [0.6092, 0.3046, 0.3046], [0.3908, 0.6954, 0.6954]]
}

=====

2.
{
  "formula": "Ac4NdHo",
  "functional": "GGA-PBE",
  "state": "relaxed",
  "relative_energy_mev_per_atom": 315,
  "total_magnetization_mub_per_atom": 0.000,
  "volume_a3_per_atom": 43.14,
  "e_form_kj_per_mol_fu": 208,
  "total_energy_ev_per_atom": -3.94,
  "lattice_angstrom": [[7.1533, 0.0000, 0.0000], [3.5766, 6.1949, 0.0000], [3.5766, 2.0650, 5.8406]],
  "species": ["Ac", "Ac", "Ac", "Ac", "Nd", "Ho"],
  "frac_coords": [[0.6256, 0.6256, 0.1232], [0.6256, 0.1232, 0.6256], [0.6256, 0.6256, 0.6256], [0.1232, 0.6256, 0.6256], [0.2500, 0.2500, 0.2500], [0.0000, 0.0000, 0.0000]]
}

=====

3.
{
  "formula": "AcNd3Ho2",
  "functional": "GGA-PBE",
  "state": "relaxed",
  "relative_energy_mev_per_atom": 297,
  "total_magnetization_mub_per_atom": 0.000,
  "volume_a3_per_atom": 36.23,
  "e_form_kj_per_mol_fu": 208,
  "total_energy_ev_per_atom": -4.24,
  "lattice_angstrom": [[-1.1592, 0.0884, 3.3417], [5.5122, -2.0708, 1.9669], [1.0197, 10.3181, -1.7924]],
  "species": ["Ac", "Nd", "Nd", "Nd", "Ho", "Ho"],
  "frac_coords": [[0.0000, 0.0000, 0.0000], [0.0000, 0.5000, 0.0000], [0.8085, 0.8085, 0.6170], [0.1915, 0.1915, 0.3830], [0.6388, 0.6388, 0.2776], [0.3612, 0.3612, 0.7224]]
}

=====

4.
{
  "formula": "Ac2NdHo",
  "functional": "GGA-PBE",
  "state": "relaxed",
  "relative_energy_mev_per_atom": 2,
  "total_magnetization_mub_per_atom": 0.000,
  "volume_a3_per_atom": 38.37,
  "e_form_kj_per_mol_fu": 15,
  "total_energy_ev_per_atom": -4.35,
  "lattice_angstrom": [[-3.4157, -1.6794, -0.4469], [-1.0506, -4.7747, -6.8381], [4.0309, -1.1135, 6.2102]],
  "species": ["Ac", "Ac", "Nd", "Ho"],
  "frac_coords": [[0.7525, 0.2524, 0.9982], [0.2524, 0.7524, 0.4982], [0.2524, 0.7524, 0.9982], [0.7524, 0.2525, 0.4983]]
}

=====

5.
{
  "formula": "Ac5Nd6Ho2",
  "functional": "GGA-PBE",
  "state": "relaxed",
  "total_magnetization_mub_per_atom": 0.000,
  "volume_a3_per_atom": 39.10,
  "e_form_kj_per_mol_fu": 205,
  "total_energy_ev_per_atom": -4.32,
  "lattice_angstrom": [[-0.2908, -3.3476, -4.0448], [13.3375, -1.7611, 0.4988], [-1.7838, -10.9145, 9.1615]],
  "species": ["Ac", "Ac", "Ac", "Ac", "Ac", "Ac", "Ac", "Ac", "Ac", "Ac", "Nd", "Nd", "Nd", "Nd", "Nd", "Nd", "Nd", "Nd", "Nd", "Nd", "Nd", "Nd", "Ho", "Ho", "Ho", "Ho"],
  "frac_coords": [[0.5000, 0.3934, 0.3900], [0.5000, 0.6066, 0.6100], [0.5000, 0.8934, 0.1100], [0.5000, 0.1066, 0.8900], [0.5000, 0.6039, 0.2245], [0.5000, 0.3961, 0.7755], [0.5000, 0.1039, 0.2755], [0.5000, 0.8961, 0.7245], [0.5000, 0.5000, 0.0000], [0.5000, 0.0000, 0.5000], [0.0000, 0.1937, 0.4293], [0.0000, 0.8063, 0.5707], [0.0000, 0.6937, 0.0707], [0.0000, 0.3063, 0.9293], [0.5000, 0.2701, 0.0916], [0.5000, 0.7299, 0.9084], [0.5000, 0.7701, 0.4084], [0.5000, 0.2299, 0.5916], [0.0000, 0.5994, 0.4037], [0.0000, 0.4006, 0.5963], [0.0000, 0.0994, 0.0963], [0.0000, 0.9006, 0.9037], [0.0000, 0.4088, 0.1883], [0.0000, 0.5912, 0.8117], [0.0000, 0.9088, 0.3117], [0.0000, 0.0912, 0.6883]]
}

=====

6.
{
  "formula": "Ac5NdHo4",
  "functional": "GGA-PBE",
  "state": "relaxed",
  "total_magnetization_mub_per_atom": 0.000,
  "volume_a3_per_atom": 37.86,
  "e_form_kj_per_mol_fu": 47,
  "total_energy_ev_per_atom": -4.31,
  "lattice_angstrom": [[1.0563, -3.0649, 4.3946], [-0.3432, -10.2262, -3.6565], [6.3898, -7.0719, -3.0750]],
  "species": ["Ac", "Ac", "Ac", "Ac", "Ac", "Nd", "Ho", "Ho", "Ho", "Ho"],
  "frac_coords": [[0.2009, 0.8977, 0.7006], [0.7991, 0.1023, 0.2994], [0.3986, 0.3047, 0.8981], [0.0000, 0.5000, 0.5000], [0.6014, 0.6953, 0.1019], [0.0000, 0.0000, 0.0000], [0.6005, 0.1982, 0.6009], [0.1993, 0.3987, 0.2027], [0.8007, 0.6013, 0.7973], [0.3995, 0.8018, 0.3991]]
}

=====

7.
{
  "formula": "AcNd12Ho3",
  "functional": "GGA-PBE",
  "state": "relaxed",
  "total_magnetization_mub_per_atom": 0.000,
  "volume_a3_per_atom": 34.93,
  "e_form_kj_per_mol_fu": 31,
  "total_energy_ev_per_atom": -4.67,
  "lattice_angstrom": [[5.1908, 0.0000, 0.0000], [0.0000, 5.1908, 0.0000], [0.0000, 0.0000, 20.7448]],
  "species": ["Ac", "Nd", "Nd", "Nd", "Nd", "Nd", "Nd", "Nd", "Nd", "Nd", "Nd", "Nd", "Nd", "Ho", "Ho", "Ho"],
  "frac_coords": [[0.0000, 0.0000, 0.0000], [0.5000, 0.5000, 0.0000], [0.5000, 0.5000, 0.2552], [0.5000, 0.5000, 0.5000], [0.5000, 0.5000, 0.7448], [0.5000, 0.0000, 0.1312], [0.5000, 0.0000, 0.3771], [0.5000, 0.0000, 0.6229], [0.5000, 0.0000, 0.8688], [0.0000, 0.5000, 0.1312], [0.0000, 0.5000, 0.3771], [0.0000, 0.5000, 0.6229], [0.0000, 0.5000, 0.8688], [0.0000, 0.0000, 0.2538], [0.0000, 0.0000, 0.5000], [0.0000, 0.0000, 0.7462]]
}

=====

8.
{
  "formula": "Ac2Nd4Ho3",
  "functional": "GGA-PBE",
  "state": "relaxed",
  "relative_energy_mev_per_atom": 0,
  "total_magnetization_mub_per_atom": 0.000,
  "volume_a3_per_atom": 35.82,
  "e_form_kj_per_mol_fu": 39,
  "total_energy_ev_per_atom": -4.51,
  "lattice_angstrom": [[-5.6895, -2.0186, 2.1854], [-1.8021, -5.5020, 2.7750], [-0.0729, 1.7661, 10.9132]],
  "species": ["Ac", "Ac", "Nd", "Nd", "Nd", "Nd", "Ho", "Ho", "Ho"],
  "frac_coords": [[0.3334, 0.3334, 0.2252], [0.6666, 0.6666, 0.7748], [0.6664, 0.6664, 0.1124], [0.0022, 0.0022, 0.6627], [0.9978, 0.9978, 0.3373], [0.3336, 0.3336, 0.8876], [0.3373, 0.3373, 0.5539], [0.0000, 0.0000, 0.0000], [0.6627, 0.6627, 0.4461]]
}